Record 1
Compound: CaTmGaAu
Source: the Alexandria database
Functional: PBE
Structure: relaxed

Cell and atoms, written as POSCAR:
```
CaTmGaAu
1.0
-2.370 1.345 -2.363
-0.271 -3.236 -1.570
-5.416 -1.710 4.460
Ca Tm Ga Au
1 1 1 1
direct
0.000 0.000 0.858
0.000 0.000 0.349
0.500 0.500 0.587
0.500 0.500 0.134
```

## Properties
E_tot   -3.885 eV/atom
E above lowest polymorph   0 meV/atom
Space group   P4mm, No. 99
Energy of formation from the pure elements   -691 meV/atom
Calculated volume   94.0 Å³/cell


Record 2
Compound: Be2ZnOs
Source: the Alexandria database
Functional: PBE
Structure: relaxed

Cell and atoms, written as POSCAR:
```
Be2ZnOs
1.0
4.362 -0.054 0.009
3.127 3.041 0.009
1.665 0.664 3.363
Be Zn Os
2 1 1
direct
0.000 0.000 0.999
0.500 0.500 0.501
0.250 0.250 0.250
0.750 0.750 0.750
```

## Properties
E_tot   -4.951 eV/atom
Space group   Immm, No. 71
Energy of formation from the pure elements   38 meV/atom
Calculated volume   45.1 Å³/cell


Record 3
Compound: K2YAg
Source: the Alexandria database
Functional: PBE
Structure: relaxed

Cell and atoms, written as POSCAR:
```
K2YAg
1.0
-1.036 4.010 6.165
-4.727 -4.965 -2.858
-0.207 -2.564 2.635
Ag K Y
1 2 1
direct
0.000 0.500 0.500
0.000 0.000 0.000
0.500 0.500 0.000
0.500 0.000 0.500
```

## Properties
E_tot   -2.454 eV/atom
E above lowest polymorph   335 meV/atom
Space group   C2/m, No. 12
Energy of formation from the pure elements   423 meV/atom
Calculated volume   141.9 Å³/cell